1.
## K3TbNp2S6 (GGA-PBE)

Data for crystalline K3TbNp2S6 at its relaxed geometry.

```
K3TbNp2S6
1.0
3.538 -6.128 0.000
3.538 6.128 0.000
-2.359 0.000 7.368
K Tb Np S
3 1 2 6
Direct
0.000 0.000 0.000
0.334 0.666 0.000
0.666 0.334 0.000
0.500 0.500 0.500
0.167 0.833 0.500
0.833 0.167 0.500
0.099 0.433 0.298
0.233 0.233 0.702
0.433 0.099 0.298
0.567 0.901 0.702
0.767 0.767 0.298
0.901 0.567 0.702
```

Values from the calculation:
Calculated total energy, eV/cell: -77.2

=====

2.
## Lu2PuHf (GGA-PBE)

Data for crystalline Lu2PuHf at its relaxed geometry.

```
Lu2PuHf
1.0
4.677 0.000 0.000
0.000 4.677 0.000
0.000 0.000 4.785
Lu Pu Hf
2 1 1
Direct
0.000 0.500 0.000
0.500 0.000 0.000
0.000 0.000 0.500
0.500 0.500 0.500
```

Values from the calculation:
Formation energy, meV/atom: 167.6

=====

3.
## ZnH2Pd (GGA-PBE)

Data for crystalline ZnH2Pd at its relaxed geometry.

```
ZnH2Pd
1.0
-2.075 2.075 4.453
2.075 -2.075 4.453
2.075 2.075 -4.453
Zn H Pd
2 4 2
Direct
0.000 0.000 0.000
0.750 0.250 0.500
0.130 0.625 0.005
0.375 0.380 0.505
0.620 0.125 0.995
0.875 0.870 0.495
0.250 0.750 0.500
0.500 0.500 0.000
```

Values from the calculation:
Relative energy among the computed polymorphs, meV per atom: 0

=====

4.
## LiNp2PaTe5 (GGA-PBE)

Data for crystalline LiNp2PaTe5 at its relaxed geometry.

```
LiNp2PaTe5
1.0
2.159 -9.259 0.000
2.159 9.259 0.000
0.000 0.000 13.232
Li Np Pa Te
2 4 2 10
Direct
0.056 0.944 0.500
0.944 0.056 0.000
0.369 0.631 0.348
0.395 0.605 0.728
0.605 0.395 0.228
0.631 0.369 0.848
0.296 0.704 0.053
0.704 0.296 0.553
0.005 0.995 0.821
0.131 0.869 0.043
0.186 0.814 0.388
0.216 0.784 0.716
0.449 0.551 0.115
0.551 0.449 0.615
0.784 0.216 0.216
0.814 0.186 0.888
0.869 0.131 0.543
0.995 0.005 0.321
```

Values from the calculation:
Calculated total energy, eV/cell: -118.4